A plane-wave DFT calculation with PBE-GGA was carried out for a relaxed structure of LaTmS3.

Computed properties:
Relative energy among the computed polymorphs   2.4 kJ/mol of formula units

Unit cell a=11.043 b=3.995 c=21.586 alpha=90.00 beta=101.47 gamma=90.00
Element x y z (fractional)
La 0.592 0.750 0.365
La 0.300 0.250 0.964
La 0.810 0.750 0.234
La 0.408 0.250 0.635
La 0.801 0.250 0.734
La 0.190 0.250 0.766
La 0.199 0.750 0.266
La 0.700 0.750 0.036
Tm 0.052 0.250 0.083
Tm 0.528 0.750 0.850
Tm 0.948 0.750 0.917
Tm 0.472 0.250 0.150
Tm 0.022 0.750 0.587
Tm 0.978 0.250 0.413
Tm 0.681 0.750 0.547
Tm 0.319 0.250 0.453
S 0.954 0.750 0.134
S 0.375 0.250 0.338
S 0.247 0.750 0.672
S 0.754 0.750 0.825
S 0.442 0.750 0.057
S 0.143 0.750 0.014
S 0.157 0.750 0.402
S 0.246 0.250 0.175
S 0.992 0.750 0.719
S 0.857 0.250 0.986
S 0.865 0.750 0.465
S 0.046 0.250 0.866
S 0.843 0.250 0.598
S 0.135 0.250 0.535
S 0.536 0.750 0.230
S 0.706 0.250 0.135
S 0.625 0.750 0.662
S 0.464 0.250 0.770
S 0.008 0.250 0.281
S 0.414 0.750 0.535
S 0.558 0.250 0.943
S 0.294 0.750 0.865
S 0.586 0.250 0.465
S 0.753 0.250 0.328